Entry 1:
## SrLiV (PBE)

Data for a geometry-optimized SrLiV structure. Values from VASP.

```
&SYSTEM
  ibrav = 0, nat = 6, ntyp = 3
/
ATOMIC_SPECIES
Sr 87.62 Sr.upf
Li 6.94 Li.upf
V 50.94 V.upf
CELL_PARAMETERS angstrom
5.1623 0.0000 0.0000
-2.5812 4.4707 0.0000
0.0000 0.0000 7.5501
ATOMIC_POSITIONS crystal
Sr 0.0000 0.0000 0.0000
Sr 0.0000 0.0000 0.5000
Li 0.3333 0.6667 0.2500
Li 0.6667 0.3333 0.7500
V 0.3333 0.6667 0.7500
V 0.6667 0.3333 0.2500
```

Calculated values
Distance to the lowest polymorph of the same formula in meV per atom: 334
Mass density in kg/m3: 2772
Space group: P6_3/mmc, No. 194
Energy of formation in eV/atom: 0.786
Density of states at the Fermi level in states/eV/atom: 1.5997


Entry 2:
## AcNdHgRh (PBE)

Data for a geometry-optimized AcNdHgRh structure. Values from VASP.

```
&SYSTEM
  ibrav = 0, nat = 4, ntyp = 4
/
ATOMIC_SPECIES
Ac 227.00 Ac.upf
Nd 144.24 Nd.upf
Hg 200.59 Hg.upf
Rh 102.91 Rh.upf
CELL_PARAMETERS angstrom
2.1280 1.2286 7.8949
-2.1280 1.2286 7.8949
0.0000 -2.4572 7.8949
ATOMIC_POSITIONS crystal
Ac 0.0000 0.0000 0.0000
Nd 0.8007 0.8007 0.8007
Hg 0.2280 0.2280 0.2280
Rh 0.4019 0.4019 0.4019
```

Calculated values
Distance to the lowest polymorph of the same formula in meV per atom: 0
Mass density in kg/m3: 9048
Space group: R3m, No. 160
Energy of formation in eV/atom: -0.556
Density of states at the Fermi level in states/eV/atom: 0.6233


Entry 3:
## NaAlSbAu3 (PBE)

Data for a geometry-optimized NaAlSbAu3 structure. Values from VASP.

```
&SYSTEM
  ibrav = 0, nat = 12, ntyp = 4
/
ATOMIC_SPECIES
Na 22.99 Na.upf
Al 26.98 Al.upf
Sb 121.76 Sb.upf
Au 196.97 Au.upf
CELL_PARAMETERS angstrom
3.3250 -7.2876 0.0000
3.3250 7.2876 0.0000
-1.9664 0.0000 5.4286
ATOMIC_POSITIONS crystal
Na 0.2311 0.7689 0.7500
Na 0.7689 0.2311 0.2500
Al 0.0129 0.9871 0.2500
Al 0.9871 0.0129 0.7500
Sb 0.3792 0.6208 0.2500
Sb 0.6208 0.3792 0.7500
Au 0.1927 0.8073 0.2500
Au 0.2064 0.3592 0.5841
Au 0.3592 0.2064 0.0841
Au 0.6408 0.7936 0.9159
Au 0.7936 0.6408 0.4159
Au 0.8073 0.1927 0.7500
```

Calculated values
Energy relative to the elements, uncorrected in eV per formula unit: -1.398
Mass density in kg/m3: 9627
Space group: C2/c, No. 15
Density of states at the Fermi level in states/eV/atom: 0.2860


The highest density of states at the Fermi level belongs to which entry?
SrLiV